(1)
Material: CsKCdF4
Method: DFT, PBE
State: optimized geometry

abc: 4.519 4.519 7.796
angles: 106.85 106.85 90.00
Positions (direct):
F  0.493  0.993  0.985
F  0.160  0.160  0.321
F  0.993  0.493  0.985
Cd  0.001  0.001  0.002
K  0.360  0.360  0.720
F  0.845  0.845  0.689
Cs  0.649  0.649  0.298

N(E_F)	0.00	states/eV/cell
magnetization	0.000	Bohr magnetons per cell
electronic total energy	-0.1470	Ha/atom
SG	I4mm (107)

***

(2)
Material: Cs2LaCdF6
Method: DFT, PBE
State: optimized geometry

abc: 6.927 6.921 9.781
angles: 90.00 90.00 90.00
Positions (direct):
La  0.500  0.248  0.000
Cd  0.000  0.749  0.000
La  0.000  0.752  0.500
F  0.736  0.487  0.000
F  0.500  0.239  0.238
Cs  0.000  0.247  0.250
F  0.238  0.989  0.500
Cs  0.000  0.247  0.750
F  0.762  0.989  0.500
Cd  0.500  0.251  0.500
F  0.262  0.011  0.000
Cs  0.500  0.753  0.750
F  0.264  0.487  0.000
F  0.738  0.011  0.000
F  0.500  0.239  0.762
F  0.236  0.513  0.500
F  0.000  0.761  0.738
Cs  0.500  0.753  0.250
F  0.000  0.761  0.262
F  0.764  0.513  0.500

N(E_F)	3.12	states/eV/cell
magnetization	1.990	Bohr magnetons per cell
electronic total energy	-0.1774	Ha/atom
SG	Pmmn (59)

***

(3)
Material: CsLaCdF6
Method: DFT, PBE
State: optimized geometry

abc: 8.787 8.317 8.528
angles: 119.19 121.01 90.00
Positions (direct):
Cd  0.500  0.000  0.000
F  0.816  0.099  0.272
F  0.457  0.099  0.272
Cs  0.796  0.546  0.592
Cd  0.500  0.500  0.000
F  0.443  0.693  0.886
F  0.543  0.901  0.728
Cs  0.204  0.454  0.408
F  0.824  0.074  0.648
F  0.184  0.901  0.728
F  0.557  0.307  0.114
La  0.500  0.000  0.500
F  0.543  0.326  0.728
La  0.000  0.000  0.500
F  0.176  0.926  0.352
F  0.184  0.326  0.728
F  0.457  0.674  0.272
F  0.816  0.674  0.272

N(E_F)	0.00	states/eV/cell
magnetization	0.000	Bohr magnetons per cell
electronic total energy	-0.1893	Ha/atom
SG	Imma (74)

***

(4)
Material: Cs2LaCdF6
Method: DFT, PBE
State: optimized geometry

abc: 6.921 6.921 6.921
angles: 60.00 60.00 90.00
Positions (direct):
F  0.762  0.238  0.000
F  0.238  0.238  0.000
F  0.762  0.762  0.000
F  0.238  0.238  0.525
F  0.762  0.762  0.475
Cs  0.250  0.750  0.500
Cs  0.750  0.250  0.500
La  0.000  0.000  0.000
F  0.238  0.762  0.000
Cd  0.500  0.500  0.000

N(E_F)	0.15	states/eV/cell
magnetization	0.999	Bohr magnetons per cell
electronic total energy	-0.1774	Ha/atom
SG	Fm-3m (225)

***

Q: The lowest electronic total energy belongs to which entry?
A: CsLaCdF6

***

Q: Which formula does entry 3 have?
A: CsLaCdF6

***

Q: Look up the N(E_F) of the third one.
A: 0.00 states/eV/cell

***

Q: Among the records above, which one has the highest electronic total energy?
A: CsKCdF4